# CePrSn2

A geometry-optimized CePrSn2 structure (PBE-GGA, the Alexandria database).

uncorrected energy = -42.88 eV/cell
energy of formation = -680 meV/atom
total magnetic moment = 0.246 μB/atom
D(E_F) = 17.186 states/eV/cell

```
data_CePrSn2
_chemical_formula_sum 'Ce2 Pr2 Sn4'
_symmetry_space_group_name_H-M 'A m m 2'
_symmetry_Int_Tables_number 38
_symmetry_space_group_name_Hall 'A 2 -2'
_cell_length_a 4.4158
_cell_length_b 4.6985
_cell_length_c 11.7952
_cell_angle_alpha 90.00
_cell_angle_beta 90.00
_cell_angle_gamma 90.00
loop_
_atom_site_label
_atom_site_fract_x
_atom_site_fract_y
_atom_site_fract_z
_atom_site_occupancy
Ce1 0.0000 0.0000 0.0000 1
Pr1 0.5000 0.0000 0.2702 1
Sn1 0.0000 0.0000 0.7244 1
Sn2 0.5000 0.0000 0.5455 1
```